VASP calculation (GGA+U) on MnSeN2F after structural relaxation.

Cell: 3.8989 3.8989 4.1502 Å, 90.00 90.00 90.00°
Last column: magnetic moment on the atom in μB.
Positions (direct):
Mn (0.5000, 0.5000, 0.5000)  4.69
N (0.5000, 0.0000, 0.0000)  0.01
Se (0.0000, 0.0000, 0.0000)  -0.01
F (0.0000, 0.0000, 0.5000)  0.02
N (0.0000, 0.5000, 0.0000)  0.01

Properties
Its total DFT energy (no corrections) is -5.185 eV/atom.